[1]
Sr3Li6Au5 | GGA-PBE | optimized geometry

Unit cell a=4.3453 b=13.1429 c=11.1294 alpha=90.00 beta=90.00 gamma=90.00
With the nearest neighbours (Å) after each atom.
Element x y z (fractional)
Sr1 0.2500 0.0883 0.2479  6 Au 3.28-3.36, 7 Li 3.39-3.59
Sr2 0.2500 0.4117 0.2479  6 Au 3.28-3.36, 7 Li 3.39-3.59
Sr3 0.2500 0.7500 0.2418  6 Au 3.31, 6 Li 3.53-3.60
Sr4 0.7500 0.2500 0.7582  6 Au 3.31, 6 Li 3.53-3.60
Sr5 0.7500 0.5883 0.7521  6 Au 3.28-3.36, 7 Li 3.39-3.59
Sr6 0.7500 0.9117 0.7521  6 Au 3.28-3.36, 7 Li 3.39-3.59
Li1 0.2500 0.0566 0.9146  4 Au 2.65-2.88, 1 Li 2.76
Li2 0.2500 0.2500 0.0100  4 Au 2.63, 2 Li 2.76
Li3 0.2500 0.2500 0.5079  4 Au 2.68-2.78
Li4 0.2500 0.4434 0.9146  4 Au 2.65-2.88, 1 Li 2.76
Li5 0.2500 0.5807 0.4966  4 Au 2.70-2.78
Li6 0.2500 0.9193 0.4966  4 Au 2.70-2.78
Li7 0.7500 0.0807 0.5034  4 Au 2.70-2.78
Li8 0.7500 0.4193 0.5034  4 Au 2.70-2.78
Li9 0.7500 0.5566 0.0854  4 Au 2.65-2.88, 1 Li 2.76
Li10 0.7500 0.7500 0.4921  4 Au 2.68-2.78
Li11 0.7500 0.7500 0.9900  4 Au 2.63, 2 Li 2.76
Li12 0.7500 0.9434 0.0854  4 Au 2.65-2.88, 1 Li 2.76
Au1 0.2500 0.0804 0.6578  5 Li 2.77-2.88
Au2 0.2500 0.4196 0.6578  5 Li 2.77-2.88
Au3 0.2500 0.6384 0.9751  5 Li 2.63-2.72, 1 Au 2.93
Au4 0.2500 0.7500 0.6334  4 Li 2.68-2.70
Au5 0.2500 0.8616 0.9751  5 Li 2.63-2.72, 1 Au 2.93
Au6 0.7500 0.1384 0.0249  5 Li 2.63-2.72, 1 Au 2.93
Au7 0.7500 0.2500 0.3666  4 Li 2.68-2.70
Au8 0.7500 0.3616 0.0249  5 Li 2.63-2.72, 1 Au 2.93
Au9 0.7500 0.5804 0.3422  5 Li 2.77-2.88
Au10 0.7500 0.9196 0.3422  5 Li 2.77-2.88

Results
Density of states at the Fermi level in states/eV/f.u.: 3.42
Energy relative to the elements in eV per atom: -0.541



[2]
SrLiAu2 | GGA-PBE | optimized geometry

Unit cell a=3.5914 b=3.6059 c=6.9112 alpha=90.00 beta=90.00 gamma=90.00
With the nearest neighbours (Å) after each atom.
Element x y z (fractional)
Sr1 0.0000 0.0000 0.0000  8 Au 3.26, 2 Li 3.46, 4 Sr 3.59-3.61
Li1 0.0000 0.0000 0.5000  8 Au 2.91
Au1 0.5000 0.5000 0.2959  1 Au 2.82, 4 Li 2.91
Au2 0.5000 0.5000 0.7041  1 Au 2.82, 4 Li 2.91

Results
Density of states at the Fermi level in states/eV/f.u.: 1.01
Energy relative to the elements in eV per atom: -0.612



[3]
SrLi2Au8 | GGA-PBE | optimized geometry

Unit cell a=5.5067 b=5.5067 c=8.8241 alpha=90.00 beta=90.00 gamma=90.00
With the nearest neighbours (Å) after each atom.
Element x y z (fractional)
Sr1 0.0000 0.0000 0.0000  8 Au 3.19
Li1 0.0000 0.5000 0.5000  8 Au 2.71
Li2 0.5000 0.0000 0.5000  8 Au 2.71
Au1 0.2518 0.2518 0.2857  2 Li 2.71, 4 Au 2.73-2.77
Au2 0.2518 0.2518 0.7143  2 Li 2.71, 4 Au 2.73-2.77
Au3 0.2518 0.7482 0.2857  2 Li 2.71, 4 Au 2.73-2.77
Au4 0.2518 0.7482 0.7143  2 Li 2.71, 4 Au 2.73-2.77
Au5 0.7482 0.2518 0.2857  2 Li 2.71, 4 Au 2.73-2.77
Au6 0.7482 0.2518 0.7143  2 Li 2.71, 4 Au 2.73-2.77
Au7 0.7482 0.7482 0.2857  2 Li 2.71, 4 Au 2.73-2.77
Au8 0.7482 0.7482 0.7143  2 Li 2.71, 4 Au 2.73-2.77

Results
Density of states at the Fermi level in states/eV/f.u.: 4.85
Energy relative to the elements in eV per atom: -0.266



[4]
SrLi3Au2 | GGA-PBE | optimized geometry

Unit cell a=8.2599 b=8.2599 c=8.3314 alpha=114.63 beta=114.63 gamma=30.38
With the nearest neighbours (Å) after each atom.
Element x y z (fractional)
Sr1 0.1459 0.1459 0.0564  7 Au 3.31-3.43, 4 Li 3.63-3.67
Sr2 0.8541 0.8541 0.9436  7 Au 3.31-3.43, 4 Li 3.63-3.67
Li1 0.0481 0.0481 0.3820  3 Au 2.63-2.65
Li2 0.3111 0.3111 0.5349  4 Au 2.67-2.86, 5 Li 2.75-2.98
Li3 0.4093 0.4093 0.3324  3 Au 2.61-2.67, 1 Li 2.75
Li4 0.5907 0.5907 0.6676  3 Au 2.61-2.67, 1 Li 2.75
Li5 0.6889 0.6889 0.4651  4 Au 2.67-2.86, 5 Li 2.75-2.98
Li6 0.9519 0.9519 0.6180  3 Au 2.63-2.65
Au1 0.1938 0.1938 0.6933  6 Li 2.63-2.86
Au2 0.4764 0.4764 0.8171  4 Li 2.61-2.67, 1 Au 2.81
Au3 0.5236 0.5236 0.1829  4 Li 2.61-2.67, 1 Au 2.81
Au4 0.8062 0.8062 0.3067  6 Li 2.63-2.86

Results
Density of states at the Fermi level in states/eV/f.u.: 2.21
Energy relative to the elements in eV per atom: -0.515



[5]
Sr2LiAu | GGA-PBE | optimized geometry

Unit cell a=9.1198 b=9.1198 c=9.1198 alpha=28.57 beta=28.57 gamma=28.57
With the nearest neighbours (Å) after each atom.
Element x y z (fractional)
Sr1 0.0000 0.0000 0.0000  3 Au 3.12
Sr2 0.1998 0.1998 0.1998  3 Au 3.14
Li1 0.7650 0.7650 0.7650  6 Sr 3.66-3.72
Au1 0.6006 0.6006 0.6006  6 Sr 3.12-3.14

Results
Density of states at the Fermi level in states/eV/f.u.: 1.94
Energy relative to the elements in eV per atom: -0.317



[6]
Sr5Li2Au | GGA-PBE | optimized geometry

Unit cell a=10.4306 b=10.4306 c=9.2668 alpha=97.23 beta=97.23 gamma=41.87
With the nearest neighbours (Å) after each atom.
Element x y z (fractional)
Sr1 0.1140 0.8860 0.7500  4 Li 3.43-3.53
Sr2 0.1214 0.3190 0.3078  2 Au 3.16-3.19
Sr3 0.2773 0.5335 0.0751  1 Au 3.15
Sr4 0.3190 0.1214 0.8078  2 Au 3.16-3.19
Sr5 0.4665 0.7227 0.4249  1 Au 3.15
Sr6 0.5335 0.2773 0.5751  1 Au 3.15
Sr7 0.6810 0.8786 0.1922  2 Au 3.16-3.19
Sr8 0.7227 0.4665 0.9249  1 Au 3.15
Sr9 0.8786 0.6810 0.6922  2 Au 3.16-3.19
Sr10 0.8860 0.1140 0.2500  4 Li 3.43-3.53
Li1 0.0757 0.7161 0.4252  7 Sr 3.43-3.82
Li2 0.2839 0.9243 0.0748  7 Sr 3.43-3.82
Li3 0.7161 0.0757 0.9252  7 Sr 3.43-3.82
Li4 0.9243 0.2839 0.5748  7 Sr 3.43-3.82
Au1 0.0000 0.5000 0.0000  6 Sr 3.15-3.19
Au2 0.5000 0.0000 0.5000  6 Sr 3.15-3.19

Results
Density of states at the Fermi level in states/eV/f.u.: 6.51
Energy relative to the elements in eV per atom: -0.174



[7]
Sr3LiAu | GGA-PBE | optimized geometry

Unit cell a=10.0615 b=10.0615 c=4.4676 alpha=90.00 beta=90.00 gamma=110.00
With the nearest neighbours (Å) after each atom.
Element x y z (fractional)
Sr1 0.1817 0.8183 0.0000  2 Au 3.10
Sr2 0.1850 0.4346 0.5000  2 Au 3.12
Sr3 0.4346 0.1850 0.5000  2 Au 3.12
Sr4 0.5654 0.8150 0.5000  2 Au 3.12
Sr5 0.8150 0.5654 0.5000  2 Au 3.12
Sr6 0.8183 0.1817 0.0000  2 Au 3.10
Li1 0.0000 0.0000 0.5000  8 Sr 3.74-4.13
Li2 0.5000 0.5000 0.0000  8 Sr 3.75
Au1 0.0000 0.5000 0.0000  6 Sr 3.10-3.12
Au2 0.5000 0.0000 0.0000  6 Sr 3.10-3.12

Results
Density of states at the Fermi level in states/eV/f.u.: 3.57
Energy relative to the elements in eV per atom: -0.277



[8]
Sr4LiAu | GGA-PBE | optimized geometry

Unit cell a=7.4118 b=7.4118 c=7.4118 alpha=60.00 beta=60.00 gamma=60.00
With the nearest neighbours (Å) after each atom.
Element x y z (fractional)
Sr1 0.1249 0.1249 0.1249  6 Sr 3.70-3.71
Sr2 0.1249 0.1249 0.6253  6 Sr 3.70-3.71
Sr3 0.1249 0.6253 0.1249  6 Sr 3.70-3.71
Sr4 0.6253 0.1249 0.1249  6 Sr 3.70-3.71
Li1 0.5000 0.5000 0.5000  12 Sr 4.35, 4 Au 4.54
Au1 0.7500 0.7500 0.7500  12 Sr 4.35, 4 Li 4.54

Results
Density of states at the Fermi level in states/eV/f.u.: 8.36
Energy relative to the elements in eV per atom: 0.432



[9]
SrLiAu2 | GGA-PBE | optimized geometry

Unit cell a=5.5280 b=5.5280 c=5.5280 alpha=132.80 beta=132.80 gamma=68.97
With the nearest neighbours (Å) after each atom.
Element x y z (fractional)
Sr1 0.0000 0.0000 0.0000  8 Au 3.13-3.18, 4 Li 3.18
Li1 0.7500 0.2500 0.5000  8 Au 3.13-3.18, 4 Sr 3.18
Au1 0.2500 0.7500 0.5000  4 Li 3.13, 4 Sr 3.18, 4 Au 3.18
Au2 0.5000 0.5000 0.0000  4 Sr 3.13, 4 Li 3.18, 4 Au 3.18

Results
Density of states at the Fermi level in states/eV/f.u.: 1.98
Energy relative to the elements in eV per atom: -0.506



[10]
SrLiAu10 | GGA-PBE | optimized geometry

Unit cell a=4.6888 b=5.5820 c=9.7790 alpha=90.00 beta=90.00 gamma=90.00
With the nearest neighbours (Å) after each atom.
Element x y z (fractional)
Sr1 0.0000 0.0000 0.0000  18 Au 3.32-3.65
Li1 0.0000 0.5000 0.5000  6 Au 3.09-3.19
Au1 0.0000 0.0000 0.3427  7 Au 2.80-3.08
Au2 0.0000 0.0000 0.6573  7 Au 2.80-3.08
Au3 0.0000 0.5000 0.1838  6 Au 2.81-2.95, 1 Li 3.09
Au4 0.0000 0.5000 0.8162  6 Au 2.81-2.95, 1 Li 3.09
Au5 0.5000 0.0000 0.5000  8 Au 2.80-2.82
Au6 0.5000 0.2476 0.2491  8 Au 2.76-2.87
Au7 0.5000 0.2476 0.7509  8 Au 2.76-2.87
Au8 0.5000 0.5000 0.0000  8 Au 2.81-2.95
Au9 0.5000 0.7524 0.2491  8 Au 2.76-2.87
Au10 0.5000 0.7524 0.7509  8 Au 2.76-2.87

Results
Density of states at the Fermi level in states/eV/f.u.: 3.41
Energy relative to the elements in eV per atom: -0.309